Below is a crystal of Na3CrPCO7 relaxed with PBEsol, with properties calculated at the meta-GGA SCAN level.

Summary:
SG: P2_1/m (11)
Energy relative to the lowest polymorph listed for this composition in eV per atom: 0.000

Cell and atoms, written as POSCAR:
```
Na3CrPCO7
1.0
5.227 0.000 0.000
0.000 6.495 0.000
-0.209 0.000 9.104
Na Cr P C O
6 2 2 2 14
direct
0.213 0.250 0.092
0.252 0.001 0.739
0.252 0.499 0.739
0.748 0.501 0.261
0.748 0.999 0.261
0.787 0.750 0.908
0.233 0.750 0.355
0.767 0.250 0.645
0.313 0.250 0.420
0.687 0.750 0.580
0.288 0.750 0.053
0.712 0.250 0.947
0.095 0.750 0.143
0.184 0.250 0.569
0.237 0.060 0.324
0.237 0.440 0.324
0.237 0.750 0.913
0.388 0.750 0.559
0.481 0.250 0.896
0.519 0.750 0.104
0.612 0.250 0.441
0.763 0.250 0.087
0.763 0.560 0.676
0.763 0.940 0.676
0.816 0.750 0.431
0.905 0.250 0.857
```

=====

Below is a crystal of SrPr3Fe4O12 relaxed with PBEsol, with properties calculated at the meta-GGA SCAN level.

Summary:
SG: Pm (6)
E in eV/cell: -351.58

Cell and atoms, written as POSCAR:
```
SrPr3Fe4O12
1.0
5.349 0.000 0.000
0.000 7.563 0.000
-0.010 0.000 5.418
Sr Pr Fe O
1 3 4 12
direct
0.000 0.000 0.000
0.487 0.500 0.506
0.503 0.000 0.508
0.987 0.500 0.009
0.494 0.248 0.003
0.494 0.752 0.003
0.995 0.248 0.504
0.995 0.752 0.504
0.001 0.500 0.562
0.239 0.282 0.248
0.239 0.718 0.248
0.258 0.225 0.739
0.258 0.775 0.739
0.492 0.500 0.951
0.497 0.000 0.060
0.737 0.284 0.261
0.737 0.716 0.261
0.745 0.230 0.754
0.745 0.770 0.754
0.989 0.000 0.461
```

=====

Below is a crystal of ZnReMo2 relaxed with PBEsol, with properties calculated at the meta-GGA SCAN level.

Summary:
SG: C2/m (12)
E in eV/cell: -153.79

Cell and atoms, written as POSCAR:
```
ZnReMo2
1.0
2.665 -4.323 0.000
2.665 4.323 0.000
-0.747 0.000 2.549
Zn Re Mo
1 1 2
direct
0.000 0.000 0.000
0.500 0.500 0.000
0.000 0.500 0.500
0.500 0.000 0.500
```

=====

Below is a crystal of CaTa2Tl relaxed with PBEsol, with properties calculated at the meta-GGA SCAN level.

Summary:
SG: Imm2 (44)
Energy relative to the lowest polymorph listed for this composition in eV per atom: 0.027

Cell and atoms, written as POSCAR:
```
CaTa2Tl
1.0
-1.612 2.654 5.117
1.612 -2.654 5.117
1.612 2.654 -5.117
Ca Ta Tl
1 2 1
direct
0.000 0.000 0.000
0.521 0.521 0.000
0.724 0.224 0.500
0.274 0.774 0.500
```

=====

Below is a crystal of Cr2BO relaxed with PBEsol, with properties calculated at the meta-GGA SCAN level.

Summary:
SG: I-42d (122)
E in eV/cell: -105.23

Cell and atoms, written as POSCAR:
```
Cr2BO
1.0
-2.214 2.214 4.498
2.214 -2.214 4.498
2.214 2.214 -4.498
Cr B O
4 2 2
direct
0.107 0.625 0.982
0.375 0.357 0.482
0.643 0.125 0.018
0.875 0.893 0.518
0.250 0.750 0.500
0.500 0.500 0.000
0.000 0.000 0.000
0.750 0.250 0.500
```

=====

Below is a crystal of MnAg2Se relaxed with PBEsol, with properties calculated at the meta-GGA SCAN level.

Summary:
SG: P4/mmm (123)
E in eV/cell: -101.43

Cell and atoms, written as POSCAR:
```
MnAg2Se
1.0
3.870 0.000 0.000
0.000 3.870 0.000
0.000 0.000 4.534
Mn Ag Se
1 2 1
direct
0.000 0.000 0.000
0.000 0.500 0.500
0.500 0.000 0.500
0.500 0.500 0.000
```

=====

Below is a crystal of Te2PbSe relaxed with PBEsol, with properties calculated at the meta-GGA SCAN level.

Summary:
SG: Pm (6)
E in eV/cell: -171.13

Cell and atoms, written as POSCAR:
```
Te2PbSe
1.0
4.342 0.000 0.000
0.000 4.345 0.000
-0.007 0.000 6.341
Te Pb Se
2 1 1
direct
0.000 0.000 0.000
0.500 0.500 0.000
0.498 0.500 0.500
0.999 0.000 0.500
```

=====

Below is a crystal of Al3IrOs relaxed with PBEsol, with properties calculated at the meta-GGA SCAN level.

Summary:
SG: Pm-3m (221)
E in eV/cell: -163.24

Cell and atoms, written as POSCAR:
```
Al3IrOs
1.0
4.539 0.000 0.000
0.000 4.539 0.000
0.000 0.000 4.539
Al Ir Os
3 1 1
direct
0.000 0.000 0.500
0.000 0.500 0.000
0.500 0.000 0.000
0.500 0.500 0.500
0.000 0.000 0.000
```

=====

Below is a crystal of Mn3Si relaxed with PBEsol, with properties calculated at the meta-GGA SCAN level.

Summary:
SG: Immm (71)
E in eV/cell: -65.58

Cell and atoms, written as POSCAR:
```
Mn3Si
1.0
-1.393 1.912 3.908
1.393 -1.912 3.908
1.393 1.912 -3.908
Mn Si
3 1
direct
0.000 0.000 0.000
0.254 0.754 0.500
0.746 0.246 0.500
0.500 0.500 0.000
```

=====

Below is a crystal of LaTeH2I relaxed with PBEsol, with properties calculated at the meta-GGA SCAN level.

Summary:
SG: P4/mmm (123)
E in eV/cell: -124.07

Cell and atoms, written as POSCAR:
```
LaTeH2I
1.0
4.319 0.000 0.000
0.000 4.319 0.000
0.000 0.000 8.068
La Te H I
1 1 2 1
direct
0.000 0.000 0.000
0.500 0.500 0.000
0.000 0.500 0.500
0.500 0.000 0.500
0.500 0.500 0.500
```

=====

Below is a crystal of BeFeAg2 relaxed with PBEsol, with properties calculated at the meta-GGA SCAN level.

Summary:
SG: P4mm (99)
E in eV/cell: -84.77

Cell and atoms, written as POSCAR:
```
BeFeAg2
1.0
2.704 0.000 0.000
0.000 2.704 0.000
0.000 0.000 7.098
Be Fe Ag
1 1 2
direct
0.000 0.000 0.000
0.500 0.500 0.814
0.000 0.000 0.540
0.500 0.500 0.228
```

=====

Below is a crystal of LiAg3 relaxed with PBEsol, with properties calculated at the meta-GGA SCAN level.

Summary:
SG: I4/mmm (139)
E in eV/cell: -97.01

Cell and atoms, written as POSCAR:
```
LiAg3
1.0
-2.000 2.000 3.997
2.000 -2.000 3.997
2.000 2.000 -3.997
Li Ag
1 3
direct
0.000 0.000 0.000
0.250 0.750 0.500
0.500 0.500 0.000
0.750 0.250 0.500
```